# GGA-PBE PrHo12Tm6, relaxed
data_PrHo12Tm6
_chemical_formula_sum 'Pr3 Ho36 Tm18'
_cell_length_a 11.7846
_cell_length_b 11.7846
_cell_length_c 15.0818
_cell_angle_alpha 90.00
_cell_angle_beta 90.00
_cell_angle_gamma 120.00
_space_group_name_H-M_alt 'R -3'
_space_group_IT_number 148
_space_group_name_Hall '-R 3'
loop_
_atom_site_label
_atom_site_fract_x
_atom_site_fract_y
_atom_site_fract_z
Pr1 0.0000 0.0000 0.0000
Ho1 0.0189 0.8353 0.1918
Ho2 0.0401 0.8508 0.4157
Tm1 0.0081 0.4224 0.6785
# Fermi-level density of states ... 1.73 states/eV per atom
# Total energy ... -250.55 eV per cell
# Energy of formation ... 3.025 eV/f.u.
# Relative energy among the computed polymorphs ... 0.0 meV/atom